A plane-wave DFT calculation with GGA-PBE was carried out for a relaxed structure of ZnSb2IO.

Output
- N(E_F): 1.579 states/eV/atom
- ΔE to the lowest computed polymorph: 796 meV/atom
- Uncorrected formation energy: 447.5 kJ/mol of formula units
- Volume: 28.9 Å³/atom
- Crystal system: tetragonal
- M_tot: 0.00 μB per cell

a b c (Å): 5.2232 5.2232 5.3040
angles (deg): 90.00 90.00 90.00
Sites, in units of the cell vectors:
1 Zn 0.0000 0.0000 0.0000
2 Sb 0.0000 0.5000 0.0000
3 Sb 0.5000 0.0000 0.0000
4 I 0.0000 0.0000 0.5000
5 O 0.5000 0.5000 0.5000